{"formula": "Tm2ScZn", "functional": "PBE", "state": "relaxed", "e_above_lowest_polymorph_mev_per_atom": 402, "magmom_total_mub_per_cell": 0.0, "e_form_ev_per_atom": 0.25, "spacegroup": "R-3m", "lattice_angstrom": [[3.334, 0.000, 0.000], [-1.667, 2.887, 0.000], [0.000, 0.000, 34.029]], "species": ["Tm", "Tm", "Tm", "Tm", "Tm", "Tm", "Sc", "Sc", "Sc", "Zn", "Zn", "Zn"], "frac_coords": [[0.000, 0.000, 0.089], [0.000, 0.000, 0.911], [0.333, 0.667, 0.578], [0.333, 0.667, 0.755], [0.667, 0.333, 0.245], [0.667, 0.333, 0.422], [0.000, 0.000, 0.500], [0.333, 0.667, 0.167], [0.667, 0.333, 0.833], [0.000, 0.000, 0.000], [0.333, 0.667, 0.667], [0.667, 0.333, 0.333]]}